No. 1
Compound: Ca2PdO3
Source: Alexandria via LeMat-Bulk
Functional: PBE
Structure: optimized geometry

Size of the total moment (μB per formula unit): 0.00
D(E_F) (states/eV/cell): 6.3
SG: R-3c, No. 167
Formation energy without anion corrections (kJ/mol of formula units): -1102
Raw total energy (eV for the cell shown): -71.0
Calculated density (Mg/m³): 4.864

Cell lengths 5.6367, 5.6367, 6.6689 Å; angles 65.00, 65.00, 60.00 degrees
With the nearest neighbours (Å) after each atom.
Element x y z (fractional)
O1 0.4091 0.7500 0.7500  4 Ca 2.33-2.45, 2 Pd 2.36
O2 0.9091 0.5909 0.2500  4 Ca 2.33-2.45, 2 Pd 2.36
O3 0.5909 0.2500 0.2500  4 Ca 2.33-2.45, 2 Pd 2.36
O4 0.2500 0.9091 0.2500  4 Ca 2.33-2.45, 2 Pd 2.36
O5 0.0909 0.4091 0.7500  4 Ca 2.33-2.45, 2 Pd 2.36
O6 0.7500 0.0909 0.7500  4 Ca 2.33-2.45, 2 Pd 2.36
Pd1 0.0000 0.0000 0.0000  6 O 2.36
Pd2 0.5000 0.5000 0.5000  6 O 2.36
Ca1 0.1634 0.1634 0.5098  6 O 2.33-2.45
Ca2 0.8366 0.8366 0.4902  6 O 2.33-2.45
Ca3 0.6634 0.6634 0.0098  6 O 2.33-2.45
Ca4 0.3366 0.3366 0.9902  6 O 2.33-2.45

No. 2
Compound: Tb2HoEr6
Source: Alexandria via LeMat-Bulk
Functional: PBE
Structure: optimized geometry

Size of the total moment (μB per formula unit): 0.00
D(E_F) (states/eV/cell): 22.0
SG: C2/c, No. 15
Formation energy from the elements (eV per atom): 0.108
Raw total energy (eV for the cell shown): -80.5
Calculated density (Mg/m³): 8.835

Cell lengths 6.4783, 9.4521, 9.4521 Å; angles 95.99, 80.74, 80.74 degrees
With the nearest neighbours (Å) after each atom.
Element x y z (fractional)
Er1 0.0032 0.2775 0.6499  5 Er 3.19-3.53, 1 Ho 3.25, 3 Tb 3.33-3.44
Er2 0.2284 0.4612 0.0602  7 Er 3.34-3.73, 2 Tb 3.42-3.59, 1 Ho 3.46
Er3 0.9968 0.7225 0.3501  5 Er 3.19-3.53, 1 Ho 3.25, 3 Tb 3.33-3.44
Er4 0.4968 0.3501 0.7225  5 Er 3.19-3.53, 1 Ho 3.25, 3 Tb 3.33-3.44
Er5 0.5032 0.6499 0.2775  5 Er 3.19-3.53, 1 Ho 3.25, 3 Tb 3.33-3.44
Er6 0.3153 0.7781 0.9546  3 Er 3.28-3.39, 3 Ho 3.35-3.67, 2 Tb 3.45-3.46
Er7 0.7284 0.0602 0.4612  7 Er 3.34-3.73, 2 Tb 3.42-3.59, 1 Ho 3.46
Er8 0.1847 0.0454 0.2219  3 Er 3.28-3.39, 3 Ho 3.35-3.67, 2 Tb 3.45-3.46
Er9 0.7716 0.5388 0.9398  7 Er 3.34-3.73, 2 Tb 3.42-3.59, 1 Ho 3.46
Er10 0.8153 0.9546 0.7781  3 Er 3.28-3.39, 3 Ho 3.35-3.67, 2 Tb 3.45-3.46
Er11 0.2716 0.9398 0.5388  7 Er 3.34-3.73, 2 Tb 3.42-3.59, 1 Ho 3.46
Er12 0.6847 0.2219 0.0454  3 Er 3.28-3.39, 3 Ho 3.35-3.67, 2 Tb 3.45-3.46
Tb1 0.3700 0.3340 0.3824  3 Tb 3.31-3.55, 7 Er 3.33-3.59
Tb2 0.6300 0.6660 0.6176  3 Tb 3.31-3.55, 7 Er 3.33-3.59
Tb3 0.1300 0.6176 0.6660  3 Tb 3.31-3.55, 7 Er 3.33-3.59
Tb4 0.8700 0.3824 0.3340  3 Tb 3.31-3.55, 7 Er 3.33-3.59
Ho1 0.2500 0.1193 0.8807  8 Er 3.25-3.64
Ho2 0.7500 0.8807 0.1193  8 Er 3.25-3.64